Record 1
Compound: Hf6Pt2O
Source: the Alexandria database
Functional: GGA-PBE
Structure: optimized geometry

Its total moment is 0.000 μB per formula unit. As for the formation energy (no corrections): -1.064 eV/atom.

It has space group P2_1/c (No. 14), with a = 5.805 Å, b = 6.348 Å, c = 10.652 Å, α = 90.00°, β = 119.71° and γ = 90.00°. The distinct sites, in fractional coordinates, are Hf at (0.102, 0.021, 0.249), Hf at (0.200, 0.685, 0.047), Hf at (0.384, 0.202, 0.046), Pt at (0.350, 0.108, 0.759) and O at (0.000, 0.000, 0.000).



Record 2
Compound: HfPtO
Source: the Alexandria database
Functional: GGA-PBE
Structure: optimized geometry

Its total moment is 0.000 μB per formula unit. As for the formation energy (no corrections): -1.804 eV/atom.

It has space group I4/mmm (No. 139), with a = 3.381 Å, b = 3.381 Å, c = 15.031 Å, α = 90.00°, β = 90.00° and γ = 90.00°. The distinct sites, in fractional coordinates, are Hf at (0.000, 0.000, 0.093), Pt at (0.000, 0.000, 0.304) and O at (0.000, 0.500, 0.000).



Record 3
Compound: Hf6PtO
Source: the Alexandria database
Functional: GGA-PBE
Structure: optimized geometry

Its total moment is 0.000 μB per formula unit. As for the formation energy (no corrections): -0.779 eV/atom.

It has space group C2/m (No. 12), with a = 6.503 Å, b = 8.930 Å, c = 5.454 Å, α = 90.00°, β = 103.75° and γ = 90.00°. The distinct sites, in fractional coordinates, are Hf at (0.115, 0.186, 0.277), Hf at (0.218, 0.500, 0.157), Pt at (0.000, 0.500, 0.500) and O at (0.000, 0.000, 0.000).



Record 4
Compound: Hf2PtO
Source: the Alexandria database
Functional: GGA-PBE
Structure: optimized geometry

Its total moment is 0.000 μB per formula unit. As for the formation energy (no corrections): -1.032 eV/atom.

It has space group R-3m (No. 166, hexagonal axes), with a = 2.9899 Å, b = 2.9899 Å, c = 25.0017 Å, α = 90.00°, β = 90.00° and γ = 120.00°. The distinct sites, in fractional coordinates, are Hf at (0.0000, 0.0000, 0.1039), Pt at (0.0000, 0.0000, 0.0000) and O at (0.0000, 0.0000, 0.5000).



> The lowest formation energy (no corrections) belongs to which entry?

HfPtO



Copy entry 3 word for word.
Compound: Hf6PtO
Source: the Alexandria database
Functional: GGA-PBE
Structure: optimized geometry

Its total moment is 0.000 μB per formula unit. As for the formation energy (no corrections): -0.779 eV/atom.

It has space group C2/m (No. 12), with a = 6.503 Å, b = 8.930 Å, c = 5.454 Å, α = 90.00°, β = 103.75° and γ = 90.00°. The distinct sites, in fractional coordinates, are Hf at (0.115, 0.186, 0.277), Hf at (0.218, 0.500, 0.157), Pt at (0.000, 0.500, 0.500) and O at (0.000, 0.000, 0.000).